Entry 1:
DFT (PBE-GGA) results for Cu3AgF8 after structural relaxation.

abc: 5.3943 5.3943 6.3978
angles: 90.00 90.00 120.00
Closest atoms and distances in Å follow each position.
Element x y z (fractional)
Cu  0.3333  0.6667  0.9992  6 F 2.05
Cu  0.6667  0.3333  0.0008  6 F 2.05
Cu  0.0000  0.0000  0.0000  6 F 2.01
Ag  0.0000  0.0000  0.5000  12 F 2.85-3.11
F  0.3283  0.3276  0.8494  3 Cu 2.01-2.05
F  0.6724  0.0006  0.8494  3 Cu 2.01-2.05
F  0.9994  0.6717  0.8494  3 Cu 2.01-2.05
F  0.6717  0.6724  0.1506  3 Cu 2.01-2.05
F  0.3276  0.9994  0.1506  3 Cu 2.01-2.05
F  0.0006  0.3283  0.1506  3 Cu 2.01-2.05
F  0.3333  0.6667  0.5015  9 F 2.87-3.11, 3 Ag 3.11, 2 Cu 3.18-3.21
F  0.6667  0.3333  0.4985  9 F 2.87-3.11, 3 Ag 3.11, 2 Cu 3.18-3.21

Summary:
As for the uncorrected formation energy: -1.056 eV/atom. For the energy relative to the lowest polymorph listed for this composition, the calculation gives 0.202 eV per atom. As for the space group: P-3 (147).

***

Entry 2:
DFT (PBE-GGA) results for LaCuNi2Rh after structural relaxation.

abc: 4.7077 4.8700 4.7077
angles: 90.00 90.00 90.00
Closest atoms and distances in Å follow each position.
Element x y z (fractional)
Ni  0.0000  0.0000  0.5000  2 La 2.35
Ni  0.5000  0.0000  0.0000  2 La 2.35
Rh  0.0000  0.5000  0.0000  2 La 2.43
Cu  0.5000  0.5000  0.5000  4 Rh 3.33, 8 Ni 3.39
La  0.0000  0.0000  0.0000  4 Ni 2.35, 2 Rh 2.43

Summary:
The formation energy is 6.48 eV/f.u. As for the space group: P4/mmm (123).

***

Entry 3:
DFT (PBE-GGA) results for ScIn5Pd6 after structural relaxation.

abc: 4.6395 6.7091 7.2818
angles: 90.00 71.42 90.00
Closest atoms and distances in Å follow each position.
Element x y z (fractional)
Sc  0.0000  0.0000  0.0000  8 Pd 2.84-2.85
Pd  0.8337  0.7507  0.3325  1 Sc 2.84, 7 In 2.85-2.88
Pd  0.8337  0.2493  0.3325  1 Sc 2.84, 7 In 2.85-2.88
Pd  0.5000  0.2479  0.0000  6 In 2.82-2.87, 2 Sc 2.85
Pd  0.5000  0.7521  0.0000  6 In 2.82-2.87, 2 Sc 2.85
Pd  0.1663  0.7507  0.6675  1 Sc 2.84, 7 In 2.85-2.88
Pd  0.1663  0.2493  0.6675  1 Sc 2.84, 7 In 2.85-2.88
In  0.6648  0.5000  0.6704  8 Pd 2.83-2.88
In  0.3351  0.0000  0.3299  8 Pd 2.82-2.87
In  0.0000  0.5000  0.0000  8 Pd 2.85-2.87
In  0.6649  0.0000  0.6701  8 Pd 2.82-2.87
In  0.3352  0.5000  0.3296  8 Pd 2.83-2.88

Summary:
The formation energy is -7.30 eV/f.u. As for the space group: Cmmm (65).

***

Entry 4:
DFT (PBE-GGA) results for NdScAg2Te4 after structural relaxation.

abc: 7.4277 7.0167 7.0167
angles: 77.87 58.04 58.04
Closest atoms and distances in Å follow each position.
Element x y z (fractional)
Nd  0.0000  0.0000  0.0000  4 Te 3.16
Sc  0.5000  0.5000  0.5000  4 Te 2.82
Ag  0.1856  0.3144  0.3144  2 Te 2.71, 1 Ag 2.97
Ag  0.8144  0.6856  0.6856  2 Te 2.71, 1 Ag 2.97
Te  0.5108  0.1014  0.4635  1 Ag 2.71, 1 Sc 2.82
Te  0.0756  0.8986  0.5365  1 Ag 2.71, 1 Sc 2.82
Te  0.9244  0.4635  0.1014  1 Ag 2.71, 1 Sc 2.82
Te  0.4892  0.5365  0.8986  1 Ag 2.71, 1 Sc 2.82

Summary:
As for the uncorrected formation energy: -0.679 eV/atom. As for the space group: I222 (23).

***

Entry 5:
DFT (PBE-GGA) results for CeTmTl3 after structural relaxation.

abc: 6.5710 7.3408 7.3408
angles: 120.00 90.00 90.00
Closest atoms and distances in Å follow each position.
Element x y z (fractional)
Ce  0.2500  0.3335  0.6665  12 Tl 3.69-3.71
Ce  0.7500  0.6665  0.3335  12 Tl 3.69-3.71
Tm  0.0000  0.0000  0.0000  6 Tl 3.01, 2 Tm 3.29
Tm  0.5000  0.0000  0.0000  6 Tl 3.01, 2 Tm 3.29
Tl  0.2500  0.8020  0.1980  2 Tl 2.98, 2 Tm 3.01
Tl  0.7500  0.1980  0.8020  2 Tl 2.98, 2 Tm 3.01
Tl  0.2500  0.8020  0.6042  2 Tl 2.98, 2 Tm 3.01
Tl  0.7500  0.1980  0.3958  2 Tl 2.98, 2 Tm 3.01
Tl  0.2500  0.3958  0.1980  2 Tl 2.98, 2 Tm 3.01
Tl  0.7500  0.6042  0.8020  2 Tl 2.98, 2 Tm 3.01

Summary:
The formation energy is -0.37 eV/f.u. As for the space group: P6_3/mmc (194).

***

Entry 6:
DFT (PBE-GGA) results for Mg7CuPd4 after structural relaxation.

abc: 4.8403 7.5067 7.0436
angles: 72.27 69.90 71.19
Closest atoms and distances in Å follow each position.
Element x y z (fractional)
Mg  0.7877  0.8767  0.5479  4 Pd 2.78-2.94, 5 Mg 2.97-2.99
Mg  0.2123  0.1233  0.4521  4 Pd 2.78-2.94, 5 Mg 2.97-2.99
Mg  0.0669  0.6201  0.2461  3 Pd 2.63-2.80, 1 Cu 2.83
Mg  0.9331  0.3799  0.7539  3 Pd 2.63-2.80, 1 Cu 2.83
Mg  0.2646  0.6947  0.7762  4 Pd 2.60-2.74, 1 Cu 2.88
Mg  0.5000  0.0000  0.0000  2 Cu 2.42, 4 Pd 2.56-2.70
Mg  0.7354  0.3053  0.2238  4 Pd 2.60-2.74, 1 Cu 2.88
Cu  0.0000  0.0000  0.0000  2 Mg 2.42
Pd  0.5641  0.2459  0.6260  7 Mg 2.60-2.89, 1 Pd 2.91
Pd  0.4359  0.7541  0.3740  7 Mg 2.60-2.89, 1 Pd 2.91
Pd  0.6898  0.6460  0.9743  5 Mg 2.56-2.74
Pd  0.3102  0.3540  0.0257  5 Mg 2.56-2.74

Summary:
The formation energy is -4.18 eV/f.u. As for the space group: C2/m (12).

***

Repeat the fifth record exactly.
DFT (PBE-GGA) results for CeTmTl3 after structural relaxation.

abc: 6.5710 7.3408 7.3408
angles: 120.00 90.00 90.00
Closest atoms and distances in Å follow each position.
Element x y z (fractional)
Ce  0.2500  0.3335  0.6665  12 Tl 3.69-3.71
Ce  0.7500  0.6665  0.3335  12 Tl 3.69-3.71
Tm  0.0000  0.0000  0.0000  6 Tl 3.01, 2 Tm 3.29
Tm  0.5000  0.0000  0.0000  6 Tl 3.01, 2 Tm 3.29
Tl  0.2500  0.8020  0.1980  2 Tl 2.98, 2 Tm 3.01
Tl  0.7500  0.1980  0.8020  2 Tl 2.98, 2 Tm 3.01
Tl  0.2500  0.8020  0.6042  2 Tl 2.98, 2 Tm 3.01
Tl  0.7500  0.1980  0.3958  2 Tl 2.98, 2 Tm 3.01
Tl  0.2500  0.3958  0.1980  2 Tl 2.98, 2 Tm 3.01
Tl  0.7500  0.6042  0.8020  2 Tl 2.98, 2 Tm 3.01

Summary:
The formation energy is -0.37 eV/f.u. As for the space group: P6_3/mmc (194).

***

- Which formula does entry 6 have?
  Mg7CuPd4

***

Copy entry 1 word for word.
DFT (PBE-GGA) results for Cu3AgF8 after structural relaxation.

abc: 5.3943 5.3943 6.3978
angles: 90.00 90.00 120.00
Closest atoms and distances in Å follow each position.
Element x y z (fractional)
Cu  0.3333  0.6667  0.9992  6 F 2.05
Cu  0.6667  0.3333  0.0008  6 F 2.05
Cu  0.0000  0.0000  0.0000  6 F 2.01
Ag  0.0000  0.0000  0.5000  12 F 2.85-3.11
F  0.3283  0.3276  0.8494  3 Cu 2.01-2.05
F  0.6724  0.0006  0.8494  3 Cu 2.01-2.05
F  0.9994  0.6717  0.8494  3 Cu 2.01-2.05
F  0.6717  0.6724  0.1506  3 Cu 2.01-2.05
F  0.3276  0.9994  0.1506  3 Cu 2.01-2.05
F  0.0006  0.3283  0.1506  3 Cu 2.01-2.05
F  0.3333  0.6667  0.5015  9 F 2.87-3.11, 3 Ag 3.11, 2 Cu 3.18-3.21
F  0.6667  0.3333  0.4985  9 F 2.87-3.11, 3 Ag 3.11, 2 Cu 3.18-3.21

Summary:
As for the uncorrected formation energy: -1.056 eV/atom. For the energy relative to the lowest polymorph listed for this composition, the calculation gives 0.202 eV per atom. As for the space group: P-3 (147).

***

- Number 6 is which compound?
  Mg7CuPd4